The following is a DFT calculation (PBE-GGA) of CrPtRh2 after structural relaxation.

Calculated values
density of states at the Fermi level	10.26	states/eV per cell
energy of formation	-0.093	eV per atom
space group	C2/m, No. 12
V	14.15	Å³ per atom

The structure in POSCAR format:
```
CrPtRh2
1.0
9.036 0.000 0.000
0.000 2.730 0.000
-0.909 0.000 4.590
Cr Pt Rh
2 2 4
direct
0.000 0.000 0.000
0.500 0.500 0.000
0.000 0.500 0.500
0.500 0.000 0.500
0.242 0.500 0.240
0.258 0.000 0.760
0.742 0.000 0.240
0.758 0.500 0.760
```

***

The following is a DFT calculation (PBE-GGA) of Cr2PtRh4 after structural relaxation.

Calculated values
density of states at the Fermi level	10.15	states/eV per cell
energy of formation	0.175	eV per atom
space group	R-3m, No. 166
V	14.22	Å³ per atom

The structure in POSCAR format:
```
Cr2PtRh4
1.0
2.115 1.221 6.420
-2.115 1.221 6.420
0.000 -2.442 6.420
Cr Pt Rh
2 1 4
direct
0.062 0.062 0.062
0.938 0.938 0.938
0.500 0.500 0.500
0.226 0.226 0.226
0.366 0.366 0.366
0.634 0.634 0.634
0.774 0.774 0.774
```